# 1
## Ba2LiSiPd6 (PBE-GGA)

Data for a relaxed structure of Ba2LiSiPd6.

Output
Final energy   -47.23 eV for the cell shown
ρ   7.42 g/cm³
Total moment   0.000 Bohr magnetons per cell
Formation energy from raw total energies   -4.89 eV per formula unit
SG   C2/m (12)

a b c (Å): 6.637 6.637 6.656
angles (deg): 118.92 118.92 60.90
Sites, in units of the cell vectors:
Ba: 0.213 0.213 0.287
Ba: 0.787 0.787 0.713
Li: 0.000 0.000 0.500
Si: 0.500 0.500 0.000
Pd: 0.249 0.249 0.839
Pd: 0.250 0.662 0.251
Pd: 0.338 0.750 0.749
Pd: 0.662 0.250 0.251
Pd: 0.750 0.338 0.749
Pd: 0.751 0.751 0.161

=====

# 2
## FeOs2Pb (PBE-GGA)

Data for a relaxed structure of FeOs2Pb.

Output
Energy of formation   0.687 eV per atom
Final energy   -31.88 eV for the cell shown
ρ   16.24 g/cm³
Total moment   2.684 Bohr magnetons per cell
SG   C2/m (12)

a b c (Å): 4.653 4.653 5.149
angles (deg): 99.94 99.94 36.89
Sites, in units of the cell vectors:
Fe: 0.000 0.000 0.000
Os: 0.267 0.267 0.800
Os: 0.733 0.733 0.200
Pb: 0.500 0.500 0.500

=====

# 3
## RbMg2TlZn (PBE-GGA)

Data for a relaxed structure of RbMg2TlZn.

Output
Energy of formation   0.917 eV per atom
Final energy   -3.21 eV for the cell shown
ρ   2.56 g/cm³
Total moment   0.000 Bohr magnetons per cell
SG   P4/mmm (123)

a b c (Å): 6.552 6.552 6.098
angles (deg): 90.00 90.00 90.00
Sites, in units of the cell vectors:
Rb: 0.000 0.000 0.000
Mg: 0.000 0.500 0.000
Mg: 0.500 0.000 0.000
Tl: 0.500 0.500 0.500
Zn: 0.000 0.000 0.500

=====

# 4
## PrNd2Ho8 (PBE-GGA)

Data for a relaxed structure of PrNd2Ho8.

Output
Energy of formation   0.172 eV per atom
Final energy   -49.05 eV for the cell shown
ρ   8.01 g/cm³
E above lowest polymorph   17.2 meV/atom
Total moment   0.000 Bohr magnetons per cell
SG   C2/m (12)

a b c (Å): 8.934 8.934 6.676
angles (deg): 98.80 98.80 43.60
Sites, in units of the cell vectors:
Pr: 0.000 0.000 0.000
Nd: 0.245 0.245 0.306
Nd: 0.755 0.755 0.694
Ho: 0.174 0.649 0.593
Ho: 0.204 0.204 0.799
Ho: 0.351 0.826 0.407
Ho: 0.412 0.412 0.095
Ho: 0.588 0.588 0.905
Ho: 0.649 0.174 0.593
Ho: 0.796 0.796 0.201
Ho: 0.826 0.351 0.407

=====

# 5
## Cr2MoRu (PBE-GGA)

Data for a relaxed structure of Cr2MoRu.

Output
Energy of formation   0.164 eV per atom
Final energy   -38.70 eV for the cell shown
ρ   9.26 g/cm³
Total moment   0.000 Bohr magnetons per cell
SG   Immm (71)

a b c (Å): 4.928 4.928 4.928
angles (deg): 144.49 128.21 64.37
Sites, in units of the cell vectors:
Cr: 0.240 0.240 0.000
Cr: 0.760 0.760 0.000
Mo: 0.000 0.500 0.500
Ru: 0.500 0.000 0.500

=====

# 6
## CuSiAu (PBE-GGA)

Data for a relaxed structure of CuSiAu.

Output
Final energy   -12.44 eV for the cell shown
ρ   10.61 g/cm³
E above lowest polymorph   131.7 meV/atom
Total moment   0.000 Bohr magnetons per cell
Formation energy from raw total energies   0.36 eV per formula unit
SG   P3m1 (156)

a b c (Å): 2.936 2.936 6.048
angles (deg): 90.00 90.00 120.00
Sites, in units of the cell vectors:
Cu: 0.000 0.000 0.000
Si: 0.667 0.333 0.292
Au: 0.333 0.667 0.640

=====

# 7
## TaTlH2Rh (PBE-GGA)

Data for a relaxed structure of TaTlH2Rh.

Output
Final energy   -24.97 eV for the cell shown
ρ   10.61 g/cm³
Total moment   0.000 Bohr magnetons per cell
SG   P4/mmm (123)

a b c (Å): 3.910 3.910 5.020
angles (deg): 90.00 90.00 90.00
Sites, in units of the cell vectors:
Ta: 0.000 0.000 0.000
Tl: 0.500 0.500 0.000
H: 0.000 0.500 0.500
H: 0.500 0.000 0.500
Rh: 0.000 0.000 0.500

=====

# 8
## LaCr2Mo (PBE-GGA)

Data for a relaxed structure of LaCr2Mo.

Output
Energy of formation   0.654 eV per atom
Final energy   -32.39 eV for the cell shown
ρ   8.31 g/cm³
E above lowest polymorph   226.4 meV/atom
Total moment   0.002 Bohr magnetons per cell
SG   Cmmm (65)

a b c (Å): 2.867 2.867 8.957
angles (deg): 90.00 90.00 113.05
Sites, in units of the cell vectors:
La: 0.000 0.000 0.000
Cr: 0.500 0.500 0.287
Cr: 0.500 0.500 0.713
Mo: 0.000 0.000 0.500

=====

# 9
## Mn2CdBr (PBE-GGA)

Data for a relaxed structure of Mn2CdBr.

Output
Final energy   -19.33 eV for the cell shown
ρ   6.13 g/cm³
E above lowest polymorph   188.9 meV/atom
Total moment   7.869 Bohr magnetons per cell
Formation energy from raw total energies   1.59 eV per formula unit
SG   Pmm2 (25)

a b c (Å): 3.223 4.903 5.180
angles (deg): 90.00 90.00 90.00
Sites, in units of the cell vectors:
Mn: 0.000 0.000 0.000
Mn: 0.000 0.500 0.357
Cd: 0.500 0.000 0.455
Br: 0.000 0.500 0.862

=====

# 10
## RbCrRh2 (PBE-GGA)

Data for a relaxed structure of RbCrRh2.

Output
Energy of formation   1.352 eV per atom
Final energy   -19.88 eV for the cell shown
ρ   8.20 g/cm³
E above lowest polymorph   440.2 meV/atom
Total moment   0.000 Bohr magnetons per cell
SG   Fm-3m (225)

a b c (Å): 4.615 4.615 4.615
angles (deg): 60.00 60.00 60.00
Sites, in units of the cell vectors:
Rb: 0.000 0.000 0.000
Cr: 0.500 0.500 0.500
Rh: 0.250 0.250 0.250
Rh: 0.750 0.750 0.750

=====

# 11
## Ce2SiN (PBE-GGA)

Data for a relaxed structure of Ce2SiN.

Output
Final energy   -29.10 eV for the cell shown
ρ   6.61 g/cm³
Total moment   0.002 Bohr magnetons per cell
Formation energy from raw total energies   -3.48 eV per formula unit
SG   R-3m (166)

a b c (Å): 7.360 7.360 7.360
angles (deg): 28.65 28.65 28.65
Sites, in units of the cell vectors:
Ce: 0.233 0.233 0.233
Ce: 0.767 0.767 0.767
Si: 0.000 0.000 0.000
N: 0.500 0.500 0.500

=====

# 12
## HgPb2Br (PBE-GGA)

Data for a relaxed structure of HgPb2Br.

Output
Final energy   -9.55 eV for the cell shown
ρ   9.78 g/cm³
E above lowest polymorph   162.6 meV/atom
Total moment   0.000 Bohr magnetons per cell
Formation energy from raw total energies   -0.16 eV per formula unit
SG   F-43m (216)

a b c (Å): 5.505 5.505 5.505
angles (deg): 60.00 60.00 60.00
Sites, in units of the cell vectors:
Hg: 0.000 0.000 0.000
Pb: 0.500 0.500 0.500
Pb: 0.750 0.750 0.750
Br: 0.250 0.250 0.250

=====

# 13
## MgB6C2 (PBE-GGA)

Data for a relaxed structure of MgB6C2.

Output
Energy of formation   1.043 eV per atom
Final energy   -50.72 eV for the cell shown
ρ   1.78 g/cm³
Total moment   0.082 Bohr magnetons per cell
SG   C2/m (12)

a b c (Å): 3.402 3.402 11.492
angles (deg): 90.07 90.07 127.54
Sites, in units of the cell vectors:
Mg: 0.000 0.000 0.000
B: 0.002 0.502 0.162
B: 0.498 0.498 0.832
B: 0.498 0.998 0.838
B: 0.502 0.002 0.162
B: 0.502 0.502 0.168
B: 0.998 0.498 0.838
C: 0.250 0.750 0.500
C: 0.750 0.250 0.500

=====

# 14
## AcY4Tm (PBE-GGA)

Data for a relaxed structure of AcY4Tm.

Output
Energy of formation   0.050 eV per atom
Final energy   -68.27 eV for the cell shown
ρ   6.13 g/cm³
E above lowest polymorph   0.0 meV/atom
Total moment   0.000 Bohr magnetons per cell
SG   C2/c (15)

a b c (Å): 8.586 8.586 6.725
angles (deg): 109.72 109.72 102.57
Sites, in units of the cell vectors:
Ac: 0.074 0.926 0.750
Ac: 0.926 0.074 0.250
Y: 0.150 0.519 0.757
Y: 0.260 0.418 0.253
Y: 0.418 0.260 0.753
Y: 0.481 0.850 0.743
Y: 0.519 0.150 0.257
Y: 0.582 0.740 0.247
Y: 0.740 0.582 0.747
Y: 0.850 0.481 0.243
Tm: 0.191 0.809 0.250
Tm: 0.809 0.191 0.750